No. 1
An optimized crystal structure of Zn4AgAu2. Source: Alexandria via LeMat-Bulk, functional PBE.

As for the energy of formation from the pure elements: -0.15 eV/atom.

The space group is R-3m (No. 166, hexagonal axes) and the conventional cell measures 4.4724, 4.4724 and 20.9127 Å, with angles of 90.00, 90.00 and 120.00 degrees. The inequivalent atoms are Zn at (0.0000, 0.0000, 0.1122), Zn at (0.0000, 0.0000, 0.3706), Ag at (0.0000, 0.0000, 0.5000) and Au at (0.0000, 0.0000, 0.2475).

No. 2
An optimized crystal structure of Ca3ReOs. Source: Alexandria via LeMat-Bulk, functional PBE.

As for the energy of formation from the pure elements: 1.68 eV/atom.

The space group is Pm-3m (No. 221) and the conventional cell measures 5.3350, 5.3350 and 5.3350 Å, with angles of 90.00, 90.00 and 90.00 degrees. The inequivalent atoms are Ca at (0.0000, 0.0000, 0.5000), Re at (0.0000, 0.0000, 0.0000) and Os at (0.5000, 0.5000, 0.5000).